PmLuNi, relaxed, DFT PBE; symmetry = F-43m; magnetic moment = 0.0 μB per formula unit; N(E_F) = 0.8391 states/eV per atom; ΔE to the lowest computed polymorph = 79.7 meV/atom
1.0
0.000 3.360 3.360
3.360 0.000 3.360
3.360 3.360 0.000
Pm Lu Ni
1 1 1
Direct
0.000 0.000 0.000
0.500 0.500 0.500
0.750 0.750 0.750